[1]
VASP calculation (GGA-PBE) on an optimized crystal structure of Ta2CoMo.

Cell: 5.023 5.023 4.619 Å, 62.66 62.66 38.30°
Fractional positions:
Ta (0.008, 0.008, 0.992)
Ta (0.492, 0.492, 0.508)
Mo (0.250, 0.250, 0.250)
Co (0.750, 0.750, 0.750)

Properties
V	15.78	Å³ per atom
total magnetic moment	0.001	μB/atom
symmetry	Immm (71)
theoretical density	13.6	Mg/m³
total energy	-10.38	eV/atom
formation energy	29	meV/atom
offset from the most stable computed form	186.1	meV/atom


[2]
VASP calculation (GGA-PBE) on an optimized crystal structure of TaCoMo2.

Cell: 5.196 5.196 2.726 Å, 80.32 80.32 118.33°
Fractional positions:
Ta (0.500, 0.000, 0.500)
Mo (0.500, 0.500, 0.000)
Mo (0.000, 0.000, 0.000)
Co (0.000, 0.500, 0.500)

Properties
V	15.30	Å³ per atom
total magnetic moment	0.329	μB/atom
symmetry	C2/m (12)
theoretical density	11.7	Mg/m³
total energy	-10.09	eV/atom
formation energy	68	meV/atom
offset from the most stable computed form	85.9	meV/atom


[3]
VASP calculation (GGA-PBE) on an optimized crystal structure of TaCoMo2.

Cell: 3.168 3.168 6.086 Å, 90.00 90.00 90.00°
Fractional positions:
Co (0.500, 0.500, 0.748)
Mo (0.000, 0.000, 0.999)
Mo (0.500, 0.500, 0.241)
Ta (0.000, 0.000, 0.513)

Properties
V	15.26	Å³ per atom
total magnetic moment	0.383	μB/atom
symmetry	P4mm (99)
theoretical density	11.7	Mg/m³
total energy	-10.17	eV/atom
formation energy	-18	meV/atom
offset from the most stable computed form	0.0	meV/atom


[4]
VASP calculation (GGA-PBE) on an optimized crystal structure of TaCo2Mo.

Cell: 2.692 2.692 7.698 Å, 90.00 90.00 90.00°
Fractional positions:
Co (0.500, 0.500, 0.225)
Co (0.000, 0.000, 0.032)
Ta (0.500, 0.500, 0.774)
Mo (0.000, 0.000, 0.470)

Properties
V	13.94	Å³ per atom
total magnetic moment	0.584	μB/atom
symmetry	P4mm (99)
theoretical density	11.8	Mg/m³
total energy	-9.15	eV/atom
formation energy	76	meV/atom
offset from the most stable computed form	128.9	meV/atom


| no. | N(E_F) (states/eV per cell) |
| --- | --- |
| 1 | 4.30 |
| 2 | 3.55 |
| 3 | 3.41 |
| 4 | 3.55 |